No. 1
Material: Ce2SmSi2Pd2
Method: DFT, PBE-GGA
State: relaxed

Geometry as POSCAR:
```
Ce2SmSi2Pd2
1.0
4.3104 0.0000 0.0000
2.1552 3.7329 0.0000
2.1552 1.2443 9.0539
Ce Sm Si Pd
2 1 2 2
Cartesian
2.1552 1.2443 5.2741
6.4656 3.7329 3.7798
0.0000 0.0000 0.0000
6.4656 3.7329 7.0286
2.1552 1.2443 2.0253
4.3104 2.4886 1.9630
4.3104 2.4886 7.0909
```

Properties
- SG: R-3m
- VASP energy: -6.19 eV per atom
- Volume: 20.812 Å³ per atom



No. 2
Material: Ce2SiSnPd6
Method: DFT, PBE-GGA
State: relaxed

Geometry as POSCAR:
```
Ce2SiSnPd6
1.0
-1.0717 3.1514 -5.8616
-6.1605 -1.0932 -1.3832
-3.3313 4.3799 0.3599
Ce Si Sn Pd
2 1 1 6
Cartesian
-3.9940 4.2915 -4.5742
-6.5695 2.1466 -2.3106
0.0000 0.0000 0.0000
-3.6161 1.0291 -3.6224
-3.1399 2.9922 -1.7546
-9.1088 5.6651 -4.9515
-4.2445 0.3453 -1.1489
-6.3190 6.0928 -5.7359
-1.4547 0.7730 -1.9333
-7.4236 3.4459 -5.1302
```

Properties
- SG: P-1
- VASP energy: -5.90 eV per atom
- Volume: 19.494 Å³ per atom



No. 3
Material: Ce2Si3SnPd4
Method: DFT, PBE-GGA
State: relaxed

Geometry as POSCAR:
```
Ce2Si3SnPd4
1.0
-0.1914 -0.1592 4.2514
-3.5050 -2.4062 -0.2479
5.9223 -8.6211 -0.0563
Ce Si Sn Pd
2 3 1 4
Cartesian
1.3125 -2.1295 2.1123
2.7616 -7.7743 -0.1668
2.9612 -4.3106 -0.0281
5.0947 -7.6352 2.0764
-1.0205 -2.2686 -0.1309
1.1130 -5.5933 1.9736
-1.8482 -1.2827 2.0017
0.0000 0.0000 0.0000
3.7386 -5.6611 2.0893
0.3356 -4.2427 -0.1438
```

Properties
- SG: P-4m2
- VASP energy: -6.09 eV per atom
- Volume: 18.970 Å³ per atom



No. 4
Material: TbCeSiPd
Method: DFT, PBE-GGA
State: relaxed

Geometry as POSCAR:
```
TbCeSiPd
1.0
-1.6333 -3.4053 -3.3578
2.2071 -0.3381 -4.5336
2.8597 -4.0118 -1.1253
Si Tb Pd Ce
1 1 1 1
Cartesian
2.5751 -5.8164 -6.7625
1.7167 -3.8776 -4.5083
0.8584 -1.9388 -2.2542
0.0000 0.0000 0.0000
```

Properties
- SG: F-43m
- VASP energy: -5.89 eV per atom
- Volume: 22.815 Å³ per atom



The following formation energy without anion corrections values (in eV/atom) correspond, in order, to the records above: -0.79 -0.65 -0.80 -0.59.
The following DOS(E_F) values (in states/eV/atom) correspond, in order, to the records above: 1.190 1.420 1.240 2.108.
The following total moment values (in μB/f.u.) correspond, in order, to the records above: 0.92 1.52 0.97 1.09.